Record 1
## Pm2PaRu3 (PBE)

Data for a relaxed Pm2PaRu3 crystal.

Geometry as CIF:
```
data_Pm2PaRu3
_space_group_name_H-M_alt 'C 1 2/m 1'
_space_group_IT_number 12
_cell_length_a 5.000
_cell_length_b 14.514
_cell_length_c 7.066
_cell_angle_alpha 90.00
_cell_angle_beta 94.99
_cell_angle_gamma 90.00
loop_
_space_group_symop_operation_xyz
'x,y,z'
'-x,-y,-z'
'-x,y,-z'
'x,-y,z'
'x+1/2,y+1/2,z'
'-x+1/2,-y+1/2,-z'
'-x+1/2,y+1/2,-z'
'x+1/2,-y+1/2,z'
loop_
_atom_site_label
_atom_site_type_symbol
_atom_site_fract_x
_atom_site_fract_y
_atom_site_fract_z
Pm1 Pm 0.000 0.000 0.000
Pm2 Pm 0.000 0.000 0.500
Pm3 Pm 0.000 0.335 0.000
Pa1 Pa 0.000 0.335 0.500
Ru1 Ru 0.013 0.500 0.725
Ru2 Ru 0.045 0.176 0.284
```

Results
density = 10717 kg/m3
calculated formation energy = -33 kJ per mole of atoms
energy above the most stable polymorph in this dataset = 0.000 eV/atom

***

Record 2
## TiZnAsO6 (PBE)

Data for a relaxed TiZnAsO6 crystal.

Geometry as CIF:
```
data_TiZnAsO6
_space_group_name_H-M_alt 'P -3 1 c'
_space_group_IT_number 163
_space_group_name_Hall '-P 3 2c'
_cell_length_a 5.0425
_cell_length_b 5.0425
_cell_length_c 8.8237
_cell_angle_alpha 90.00
_cell_angle_beta 90.00
_cell_angle_gamma 120.00
loop_
_atom_site_label
_atom_site_type_symbol
_atom_site_fract_x
_atom_site_fract_y
_atom_site_fract_z
Ti1 Ti 0.3333 0.6667 0.2500
Zn1 Zn 0.0000 0.0000 0.0000
As1 As 0.3333 0.6667 0.7500
O1 O 0.0171 0.3651 0.6351
```

Results
E_tot = -6.47 eV per atom
density = 4858 kg/m3

***

Record 3
## LiVCd2C (PBE)

Data for a relaxed LiVCd2C crystal.

Geometry as CIF:
```
data_LiVCd2C
_space_group_name_H-M_alt 'P 4/m m m'
_space_group_IT_number 123
_space_group_name_Hall '-P 4 2'
_cell_length_a 4.567
_cell_length_b 4.567
_cell_length_c 3.937
_cell_angle_alpha 90.00
_cell_angle_beta 90.00
_cell_angle_gamma 90.00
loop_
_atom_site_label
_atom_site_type_symbol
_atom_site_fract_x
_atom_site_fract_y
_atom_site_fract_z
Li1 Li 0.000 0.000 0.000
V1 V 0.500 0.500 0.000
Cd1 Cd 0.000 0.500 0.500
C1 C 0.000 0.000 0.500
```

Results
density = 5961 kg/m3
calculated formation energy = 109 kJ per mole of atoms

***

Record 4
## KAs2SeI (PBE)

Data for a relaxed KAs2SeI crystal.

Geometry as CIF:
```
data_KAs2SeI
_space_group_name_H-M_alt 'P 4/m m m'
_space_group_IT_number 123
_space_group_name_Hall '-P 4 2'
_cell_length_a 5.525
_cell_length_b 5.525
_cell_length_c 5.641
_cell_angle_alpha 90.00
_cell_angle_beta 90.00
_cell_angle_gamma 90.00
loop_
_atom_site_label
_atom_site_type_symbol
_atom_site_fract_x
_atom_site_fract_y
_atom_site_fract_z
K1 K 0.000 0.000 0.000
As1 As 0.000 0.500 0.500
Se1 Se 0.500 0.500 0.000
I1 I 0.500 0.500 0.500
```

Results
density = 3808 kg/m3
energy above the most stable polymorph in this dataset = 0.000 eV/atom

***

Record 5
## Mn2CoRe (PBE)

Data for a relaxed Mn2CoRe crystal.

Geometry as CIF:
```
data_Mn2CoRe
_space_group_name_H-M_alt 'I -4 m 2'
_space_group_IT_number 119
_space_group_name_Hall 'I -4 -2'
_cell_length_a 3.638
_cell_length_b 3.638
_cell_length_c 7.230
_cell_angle_alpha 90.00
_cell_angle_beta 90.00
_cell_angle_gamma 90.00
loop_
_atom_site_label
_atom_site_type_symbol
_atom_site_fract_x
_atom_site_fract_y
_atom_site_fract_z
Mn1 Mn 0.000 0.000 0.000
Mn2 Mn 0.000 0.500 0.250
Co1 Co 0.000 0.000 0.500
Re1 Re 0.000 0.500 0.750
```

Results
density = 12323 kg/m3
calculated formation energy = 1 kJ per mole of atoms

***

Record 6
## Cd2CoSb (PBE)

Data for a relaxed Cd2CoSb crystal.

Geometry as CIF:
```
data_Cd2CoSb
_space_group_name_H-M_alt 'C 1 2/m 1'
_space_group_IT_number 12
_cell_length_a 5.506
_cell_length_b 10.865
_cell_length_c 3.257
_cell_angle_alpha 90.00
_cell_angle_beta 122.60
_cell_angle_gamma 90.00
loop_
_space_group_symop_operation_xyz
'x,y,z'
'-x,-y,-z'
'-x,y,-z'
'x,-y,z'
'x+1/2,y+1/2,z'
'-x+1/2,-y+1/2,-z'
'-x+1/2,y+1/2,-z'
'x+1/2,-y+1/2,z'
loop_
_atom_site_label
_atom_site_type_symbol
_atom_site_fract_x
_atom_site_fract_y
_atom_site_fract_z
Cd1 Cd 0.250 0.250 0.000
Co1 Co 0.000 0.000 0.000
Sb1 Sb 0.000 0.500 0.000
```

Results
E_tot = -2.92 eV per atom
density = 8204 kg/m3

***

Record 7
## La2Ga3Pd5 (PBE)

Data for a relaxed La2Ga3Pd5 crystal.

Geometry as CIF:
```
data_La2Ga3Pd5
_space_group_name_H-M_alt 'C m c 21'
_space_group_IT_number 36
_cell_length_a 4.284
_cell_length_b 25.649
_cell_length_c 7.015
_cell_angle_alpha 90.00
_cell_angle_beta 90.00
_cell_angle_gamma 90.00
loop_
_space_group_symop_operation_xyz
'x,y,z'
'-x,-y,z+1/2'
'-x,y,z'
'x,-y,z+1/2'
'x+1/2,y+1/2,z'
'-x+1/2,-y+1/2,z+1/2'
'-x+1/2,y+1/2,z'
'x+1/2,-y+1/2,z+1/2'
loop_
_atom_site_label
_atom_site_type_symbol
_atom_site_fract_x
_atom_site_fract_y
_atom_site_fract_z
La1 La 0.000 0.023 0.000
La2 La 0.000 0.327 0.973
Ga1 Ga 0.000 0.132 0.813
Ga2 Ga 0.000 0.280 0.417
Ga3 Ga 0.000 0.451 0.820
Pd1 Pd 0.000 0.101 0.323
Pd2 Pd 0.000 0.199 0.136
Pd3 Pd 0.000 0.228 0.722
Pd4 Pd 0.000 0.379 0.540
Pd5 Pd 0.000 0.443 0.194
```

Results
density = 8781 kg/m3
calculated formation energy = -75 kJ per mole of atoms
energy above the most stable polymorph in this dataset = 0.038 eV/atom

***

Record 8
## Cd2In2SnPb2 (PBE)

Data for a relaxed Cd2In2SnPb2 crystal.

Geometry as CIF:
```
data_Cd2In2SnPb2
_space_group_name_H-M_alt 'C 1 2/m 1'
_space_group_IT_number 12
_cell_length_a 6.020
_cell_length_b 3.359
_cell_length_c 19.703
_cell_angle_alpha 90.00
_cell_angle_beta 92.10
_cell_angle_gamma 90.00
loop_
_space_group_symop_operation_xyz
'x,y,z'
'-x,-y,-z'
'-x,y,-z'
'x,-y,z'
'x+1/2,y+1/2,z'
'-x+1/2,-y+1/2,-z'
'-x+1/2,y+1/2,-z'
'x+1/2,-y+1/2,z'
loop_
_atom_site_label
_atom_site_type_symbol
_atom_site_fract_x
_atom_site_fract_y
_atom_site_fract_z
Cd1 Cd 0.034 0.000 0.148
In1 In 0.221 0.500 0.275
Sn1 Sn 0.000 0.000 0.000
Pb1 Pb 0.187 0.500 0.573
```

Results
density = 8237 kg/m3
calculated formation energy = 6 kJ per mole of atoms

***

Record 9
## VSiAu3 (PBE)

Data for a relaxed VSiAu3 crystal.

Geometry as CIF:
```
data_VSiAu3
_space_group_name_H-M_alt 'P m -3 m'
_space_group_IT_number 221
_space_group_name_Hall '-P 4 2 3'
_cell_length_a 4.918
_cell_length_b 4.918
_cell_length_c 4.918
_cell_angle_alpha 90.00
_cell_angle_beta 90.00
_cell_angle_gamma 90.00
loop_
_atom_site_label
_atom_site_type_symbol
_atom_site_fract_x
_atom_site_fract_y
_atom_site_fract_z
V1 V 0.000 0.000 0.000
Si1 Si 0.500 0.500 0.500
Au1 Au 0.000 0.000 0.500
```

Results
density = 9353 kg/m3
energy above the most stable polymorph in this dataset = 0.601 eV/atom

***

- Look up the density of the third one.
  5961 kg/m3

***

Copy entry 9 word for word.
## VSiAu3 (PBE)

Data for a relaxed VSiAu3 crystal.

Geometry as CIF:
```
data_VSiAu3
_space_group_name_H-M_alt 'P m -3 m'
_space_group_IT_number 221
_space_group_name_Hall '-P 4 2 3'
_cell_length_a 4.918
_cell_length_b 4.918
_cell_length_c 4.918
_cell_angle_alpha 90.00
_cell_angle_beta 90.00
_cell_angle_gamma 90.00
loop_
_atom_site_label
_atom_site_type_symbol
_atom_site_fract_x
_atom_site_fract_y
_atom_site_fract_z
V1 V 0.000 0.000 0.000
Si1 Si 0.500 0.500 0.500
Au1 Au 0.000 0.000 0.500
```

Results
density = 9353 kg/m3
energy above the most stable polymorph in this dataset = 0.601 eV/atom

***

- Number 2 is which compound?
  TiZnAsO6